First-principles (PBE-GGA) data for crystalline PmMgZn2Pd4 at its relaxed geometry, as listed in the Alexandria database. Values from VASP.

formation energy: -0.65 eV per atom
V: 17.5 Å³ per atom
DFT total energy: -0.160 hartree per atom
SG: No. 166

Quantum ESPRESSO input file:
```
&SYSTEM
  ibrav = 0, nat = 8, ntyp = 4
/
ATOMIC_SPECIES
Pm 145.00 Pm.upf
Pd 106.42 Pd.upf
Mg 24.30 Mg.upf
Zn 65.41 Zn.upf
CELL_PARAMETERS angstrom
4.430 0.000 0.000
2.215 3.836 0.000
2.215 1.279 8.216
ATOMIC_POSITIONS angstrom
Pm 0.000 0.000 0.000
Pd 4.430 2.557 1.534
Pd 4.430 2.557 6.682
Pd 2.215 1.279 5.098
Pd 6.644 3.836 3.117
Mg 4.430 2.557 4.108
Zn 2.215 1.279 2.287
Zn 6.644 3.836 5.928
```